No. 1
Computed, not measured: a relaxed structure of Pm3Ni6Sb5 at the PBE level of DFT.

Unit cell a=4.2925 b=12.8297 c=9.9246 alpha=90.00 beta=90.00 gamma=90.00
Last column: nearest neighbours and their distance in Å.
Sites, in units of the cell vectors:
Pm1 0.2500 0.0787 0.2494  6 Sb 3.20-3.23, 7 Ni 3.22-3.33
Pm2 0.2500 0.4213 0.2494  6 Sb 3.20-3.23, 7 Ni 3.22-3.33
Pm3 0.2500 0.7500 0.2395  10 Ni 3.18-3.46, 6 Sb 3.20-3.22
Pm4 0.7500 0.2500 0.7605  10 Ni 3.18-3.46, 6 Sb 3.20-3.22
Pm5 0.7500 0.5787 0.7506  6 Sb 3.20-3.23, 7 Ni 3.22-3.33
Pm6 0.7500 0.9213 0.7506  6 Sb 3.20-3.23, 7 Ni 3.22-3.33
Ni1 0.2500 0.0735 0.6106  1 Ni 2.51, 4 Sb 2.53-2.63
Ni2 0.2500 0.2500 0.0072  4 Sb 2.56
Ni3 0.2500 0.2500 0.5015  2 Ni 2.51, 4 Sb 2.74
Ni4 0.2500 0.4265 0.6106  1 Ni 2.51, 4 Sb 2.53-2.63
Ni5 0.2500 0.5864 0.9985  4 Sb 2.54-2.55
Ni6 0.2500 0.9136 0.9985  4 Sb 2.54-2.55
Ni7 0.7500 0.0864 0.0015  4 Sb 2.54-2.55
Ni8 0.7500 0.4136 0.0015  4 Sb 2.54-2.55
Ni9 0.7500 0.5735 0.3894  1 Ni 2.51, 4 Sb 2.53-2.63
Ni10 0.7500 0.7500 0.4985  2 Ni 2.51, 4 Sb 2.74
Ni11 0.7500 0.7500 0.9928  4 Sb 2.56
Ni12 0.7500 0.9265 0.3894  1 Ni 2.51, 4 Sb 2.53-2.63
Sb1 0.2500 0.0835 0.8649  5 Ni 2.53-2.56
Sb2 0.2500 0.4165 0.8649  5 Ni 2.53-2.56
Sb3 0.2500 0.6172 0.5145  5 Ni 2.54-2.74
Sb4 0.2500 0.7500 0.8522  4 Ni 2.55-2.56
Sb5 0.2500 0.8828 0.5145  5 Ni 2.54-2.74
Sb6 0.7500 0.1172 0.4855  5 Ni 2.54-2.74
Sb7 0.7500 0.2500 0.1478  4 Ni 2.55-2.56
Sb8 0.7500 0.3828 0.4855  5 Ni 2.54-2.74
Sb9 0.7500 0.5835 0.1351  5 Ni 2.53-2.56
Sb10 0.7500 0.9165 0.1351  5 Ni 2.53-2.56

Size of the total moment = 0.000 Bohr magnetons per cell
Space-group type = Pmmn
Raw formation energy = -655 meV per atom


No. 2
Computed, not measured: a relaxed structure of CaInBi2Pb2 at the PBE level of DFT.

Unit cell a=4.6995 b=11.2656 c=7.3610 alpha=90.00 beta=90.00 gamma=90.00
Last column: nearest neighbours and their distance in Å.
Sites, in units of the cell vectors:
Ca1 0.0000 0.0495 0.0000  5 Bi 3.28-3.56, 4 In 3.44-3.67
Ca2 0.0000 0.9505 0.5000  5 Bi 3.28-3.56, 4 In 3.44-3.67
In1 0.5000 0.1621 0.7057  4 Bi 3.08-3.25, 2 Ca 3.44
In2 0.5000 0.8379 0.2057  4 Bi 3.08-3.25, 2 Ca 3.44
Bi1 0.0000 0.3370 0.7976  2 In 3.14, 3 Pb 3.34-3.44
Bi2 0.0000 0.6630 0.2976  2 In 3.14, 3 Pb 3.34-3.44
Bi3 0.5000 0.1205 0.2923  2 In 3.08-3.25, 4 Ca 3.28-3.40, 2 Pb 3.38
Bi4 0.5000 0.8795 0.7923  2 In 3.08-3.25, 4 Ca 3.28-3.40, 2 Pb 3.38
Pb1 0.0000 0.3347 0.2507  4 Bi 3.34-3.71, 4 Pb 3.50-3.57, 1 Ca 3.71
Pb2 0.0000 0.6653 0.7507  4 Bi 3.34-3.71, 4 Pb 3.50-3.57, 1 Ca 3.71
Pb3 0.5000 0.4748 0.5296  4 Bi 3.44-3.60, 6 Pb 3.50-3.72, 1 In 3.75
Pb4 0.5000 0.5252 0.0296  4 Bi 3.44-3.60, 6 Pb 3.50-3.72, 1 In 3.75

Size of the total moment = 0.000 Bohr magnetons per cell
ΔE_f = -0.21 eV/atom
Space-group type = Pmc2_1


No. 3
Computed, not measured: a relaxed structure of NiPIr at the PBE level of DFT.

Unit cell a=3.7373 b=3.7373 c=3.3301 alpha=90.00 beta=90.00 gamma=120.00
Last column: nearest neighbours and their distance in Å.
Sites, in units of the cell vectors:
Ni1 0.0000 0.0000 0.0000  3 P 2.34
P1 0.6667 0.3333 0.2698  3 Ir 2.28, 3 Ni 2.34
Ir1 0.3333 0.6667 0.4929  3 P 2.28

Size of the total moment = 0.000 Bohr magnetons per cell
ΔE_f = -0.24 eV/atom
Space-group type = P3m1


No. 4
Computed, not measured: a relaxed structure of RbZrPbSe2 at the PBE level of DFT.

Unit cell a=5.2459 b=5.2459 c=6.9071 alpha=90.00 beta=90.00 gamma=90.00
Last column: nearest neighbours and their distance in Å.
Sites, in units of the cell vectors:
Rb1 0.0000 0.0000 0.0000  2 Zr 3.45, 4 Pb 3.71
Zr1 0.0000 0.0000 0.5000  4 Se 2.62
Pb1 0.5000 0.5000 0.0000  4 Rb 3.71
Se1 0.0000 0.5000 0.5000  2 Zr 2.62
Se2 0.5000 0.0000 0.5000  2 Zr 2.62

Size of the total moment = 0.896 Bohr magnetons per cell
Space-group type = P4/mmm
Raw formation energy = -50 meV per atom


No. 5
Computed, not measured: a relaxed structure of Co2Ni4IrRh at the PBE level of DFT.

Unit cell a=6.7372 b=6.7372 c=12.4652 alpha=90.00 beta=90.00 gamma=157.99
Last column: nearest neighbours and their distance in Å.
Sites, in units of the cell vectors:
Co1 0.1300 0.8700 0.5901  6 Ni 2.31-2.58, 2 Ir 2.49, 2 Co 2.57
Co2 0.1300 0.8700 0.9099  6 Ni 2.31-2.58, 2 Ir 2.49, 2 Co 2.57
Co3 0.8700 0.1300 0.0901  6 Ni 2.31-2.58, 2 Ir 2.49, 2 Co 2.57
Co4 0.8700 0.1300 0.4099  6 Ni 2.31-2.58, 2 Ir 2.49, 2 Co 2.57
Ni1 0.0212 0.9788 0.7500  2 Rh 2.44, 2 Co 2.46, 2 Ir 2.55, 2 Ni 2.57
Ni2 0.2014 0.7986 0.0787  3 Co 2.31-2.58, 2 Ni 2.57
Ni3 0.2014 0.7986 0.4213  3 Co 2.31-2.58, 2 Ni 2.57
Ni4 0.5000 0.5000 0.0000  4 Co 2.42, 2 Ni 2.57
Ni5 0.5000 0.5000 0.5000  4 Co 2.42, 2 Ni 2.57
Ni6 0.7986 0.2014 0.5787  3 Co 2.31-2.58, 2 Ni 2.57
Ni7 0.7986 0.2014 0.9213  3 Co 2.31-2.58, 2 Ni 2.57
Ni8 0.9788 0.0212 0.2500  2 Rh 2.44, 2 Co 2.46, 2 Ir 2.55, 2 Ni 2.57
Ir1 0.3122 0.6878 0.2500  4 Co 2.49, 4 Ni 2.55-2.59, 2 Ir 2.57, 2 Rh 2.66
Ir2 0.6878 0.3122 0.7500  4 Co 2.49, 4 Ni 2.55-2.59, 2 Ir 2.57, 2 Rh 2.66
Rh1 0.3641 0.6359 0.7500  6 Ni 2.44-2.64, 2 Rh 2.57, 2 Ir 2.66
Rh2 0.6359 0.3641 0.2500  6 Ni 2.44-2.64, 2 Rh 2.57, 2 Ir 2.66

Size of the total moment = 14.757 Bohr magnetons per cell
ΔE_f = 0.34 eV/atom
Space-group type = Cmcm


No. 6
Computed, not measured: a relaxed structure of Ca2AlTe at the PBE level of DFT.

Unit cell a=6.9516 b=6.9516 c=6.9516 alpha=105.88 beta=105.88 gamma=116.91
Last column: nearest neighbours and their distance in Å.
Sites, in units of the cell vectors:
Ca1 0.1202 0.6250 0.9952  2 Te 3.07, 2 Al 3.13
Ca2 0.3750 0.3702 0.4952  2 Te 3.07, 2 Al 3.13
Ca3 0.6298 0.1250 0.0048  2 Te 3.07, 2 Al 3.13
Ca4 0.8750 0.8798 0.5048  2 Te 3.07, 2 Al 3.13
Al1 0.2500 0.7500 0.5000  4 Ca 3.13
Al2 0.5000 0.5000 0.0000  4 Ca 3.13
Te1 0.0000 0.0000 0.0000  4 Ca 3.07
Te2 0.7500 0.2500 0.5000  4 Ca 3.07

Size of the total moment = 0.000 Bohr magnetons per cell
Energy above the most stable polymorph in this dataset = 229 meV/atom
Space-group type = I-42d
Raw formation energy = -459 meV per atom